VASP calculation (GGA-PBE) on an optimized crystal structure of MnHg2Se.

Structure (CIF):
```
data_MnHg2Se
_cell_length_a 3.594
_cell_length_b 3.594
_cell_length_c 8.828
_cell_angle_alpha 90.00
_cell_angle_beta 90.00
_cell_angle_gamma 90.00
_space_group_name_H-M_alt 'P 1'
_space_group_IT_number 1
loop_
_space_group_symop_operation_xyz
'x,y,z'
loop_
_atom_site_label
_atom_site_fract_x
_atom_site_fract_y
_atom_site_fract_z
Mn1 0.000 0.000 0.000
Hg1 0.000 0.000 0.319
Hg2 0.500 0.500 0.571
Se1 0.500 0.500 0.961
```

Properties
total energy: -3.378 eV per atom
energy relative to the elements, uncorrected: -0.063 eV per atom
DOS at the Fermi energy: 0.319 states/eV/atom
M_tot: 4.64 μB/f.u.